[1]
Computed, not measured: Li2Ga2Pt3 after structural relaxation at the PBE-GGA level of DFT.

Geometry as extended XYZ:
```
7
Lattice="3.451 0.000 0.000 -1.725 5.275 -0.040 0.000 -2.467 6.306" Properties=species:S:1:pos:R:3 pbc="T T T"
Li 1.725 3.657 1.481
Li 0.000 -0.849 4.785
Ga 1.725 1.555 4.857
Ga 0.000 1.252 1.409
Pt 1.725 0.000 0.000
Pt 1.725 0.063 2.885
Pt 0.000 2.745 3.381
```

Output
E_form = -0.57 eV per atom
ΔE to the lowest computed polymorph = 75 meV per atom
spin magnetization = 0.00 μB per atom

=====

[2]
Computed, not measured: Li2Ga4Pt after structural relaxation at the PBE-GGA level of DFT.

Geometry as extended XYZ:
```
14
Lattice="6.689 0.038 -0.065 -2.193 6.319 0.065 -2.303 -3.140 5.439" Properties=species:S:1:pos:R:3 pbc="T T T"
Li 4.338 -0.684 2.779
Li 0.994 0.301 3.391
Li -1.049 3.126 4.003
Li 0.102 3.692 0.704
Ga -2.111 4.606 2.102
Ga 1.311 2.992 2.937
Ga 3.426 1.496 3.846
Ga -0.601 -1.230 4.746
Ga 2.462 4.682 0.287
Ga 2.743 -1.091 4.783
Ga 2.443 -0.072 1.057
Ga -0.901 1.486 2.000
Pt 0.000 0.000 0.000
Pt 3.344 2.403 1.344
```

Output
E_form = -0.30 eV per atom
ΔE to the lowest computed polymorph = 0 meV per atom
spin magnetization = 0.00 μB per atom

=====

[3]
Computed, not measured: Li8Ga6Pt after structural relaxation at the PBE-GGA level of DFT.

Geometry as extended XYZ:
```
15
Lattice="-4.355 -1.500 5.454 2.173 -4.377 5.203 1.307 2.411 6.378" Properties=species:S:1:pos:R:3 pbc="T T T"
Li -2.036 -0.652 6.660
Li -2.599 -0.513 9.526
Li 0.865 -0.284 6.678
Li -0.979 -2.896 7.765
Li 0.105 -0.570 9.270
Li -1.738 -3.182 10.357
Li 1.725 -2.952 7.509
Li 1.163 -2.814 10.375
Ga 1.415 -2.835 13.031
Ga 0.711 -0.977 2.380
Ga 0.160 -2.630 5.332
Ga -1.034 -0.836 11.703
Ga -1.584 -2.489 14.656
Ga -2.289 -0.631 4.004
Pt 0.000 0.000 0.000
```

Output
E_form = -0.32 eV per atom
spin magnetization = 0.00 μB per atom